Here is YZrCSe after structural relaxation from the Open Quantum Materials Database. Energies are from PBE.

* offset from the most stable computed form: 0.011 eV per atom
* crystal system: hexagonal
* raw total energy: -32.27 eV per formula unit

Cell lengths 3.5967, 3.5967, 13.0455 Å; angles 90.00, 90.00, 120.00 degrees
Space group P-6m2 (No. 187)
Asymmetric unit:
Y 0.0000 0.0000 0.1544
Zr 0.3333 0.6667 0.3519
C 0.6667 0.3333 0.2660
Se 0.0000 0.0000 0.5000
Se 0.3333 0.6667 0.0000

***

Here is NdSmPO after structural relaxation from the Open Quantum Materials Database. Energies are from PBE.

* offset from the most stable computed form: 0.094 eV per atom
* crystal system: tetragonal
* raw total energy: -27.26 eV per formula unit

Cell lengths 4.411, 4.411, 8.988 Å; angles 90.00, 90.00, 90.00 degrees
Space group P4/nmm (No. 129, origin choice 2)
Asymmetric unit:
Nd 0.250 0.250 0.108
Sm 0.250 0.750 0.500
P 0.250 0.250 0.695
O 0.250 0.750 0.000

***

What is the raw total energy in the second record?
-27.26 eV per formula unit